(1)
# ZrTl2Br

A relaxed structure of ZrTl2Br (GGA-PBEsol, the Alexandria database).

* size of the total moment: 0.00 μB per formula unit
* V: 25.13 Å³/atom
* total energy: -17.71 eV/cell
* DOS at the Fermi energy: 0.435 states/eV per atom

```
data_ZrTl2Br
_space_group_name_H-M_alt 'P 4 m m'
_space_group_IT_number 99
_cell_length_a 3.2929
_cell_length_b 3.2929
_cell_length_c 9.2693
_cell_angle_alpha 90.00
_cell_angle_beta 90.00
_cell_angle_gamma 90.00
loop_
_space_group_symop_operation_xyz
'x,y,z'
'-y,x,z'
'-x,-y,z'
'y,-x,z'
'-x,y,z'
'y,x,z'
'x,-y,z'
'-y,-x,z'
loop_
_atom_site_label
_atom_site_type_symbol
_atom_site_fract_x
_atom_site_fract_y
_atom_site_fract_z
_atom_site_occupancy
Zr1 Zr 0.0000 0.0000 0.0000 1
Tl1 Tl 0.0000 0.0000 0.5159 1
Tl2 Tl 0.5000 0.5000 0.7760 1
Br1 Br 0.5000 0.5000 0.1774 1
```



(2)
# Tc2SbBr

A relaxed structure of Tc2SbBr (GGA-PBEsol, the Alexandria database).

* size of the total moment: 0.00 μB per formula unit
* V: 16.97 Å³/atom
* total energy: -50.57 eV/cell
* DOS at the Fermi energy: 1.218 states/eV per atom

```
data_Tc2SbBr
_space_group_name_H-M_alt 'I -4 m 2'
_space_group_IT_number 119
_space_group_name_Hall 'I -4 -2'
_cell_length_a 4.0321
_cell_length_b 4.0321
_cell_length_c 8.3499
_cell_angle_alpha 90.00
_cell_angle_beta 90.00
_cell_angle_gamma 90.00
loop_
_atom_site_label
_atom_site_type_symbol
_atom_site_fract_x
_atom_site_fract_y
_atom_site_fract_z
_atom_site_occupancy
Tc1 Tc 0.0000 0.0000 0.0000 1
Tc2 Tc 0.0000 0.5000 0.2500 1
Sb1 Sb 0.0000 0.5000 0.7500 1
Br1 Br 0.0000 0.0000 0.5000 1
```



(3)
# HgIrRu

A relaxed structure of HgIrRu (GGA-PBEsol, the Alexandria database).

* size of the total moment: 0.00 μB per formula unit
* V: 15.58 Å³/atom
* total energy: -19.57 eV/cell
* DOS at the Fermi energy: 0.886 states/eV per atom
* formation energy from the elements: 7.6 kcal/mol of atoms

```
data_HgIrRu
_space_group_name_H-M_alt 'P 3 m 1'
_space_group_IT_number 156
_cell_length_a 2.7980
_cell_length_b 2.7980
_cell_length_c 6.8927
_cell_angle_alpha 90.00
_cell_angle_beta 90.00
_cell_angle_gamma 120.00
loop_
_space_group_symop_operation_xyz
'x,y,z'
'-y,x-y,z'
'-x+y,-x,z'
'-y,-x,z'
'-x+y,y,z'
'x,x-y,z'
loop_
_atom_site_label
_atom_site_type_symbol
_atom_site_fract_x
_atom_site_fract_y
_atom_site_fract_z
_atom_site_occupancy
Hg1 Hg 0.0000 0.0000 0.0000 1
Ir1 Ir 0.3333 0.6667 0.6419 1
Ru1 Ru 0.6667 0.3333 0.3494 1
```



(4)
# Ag2Au

A relaxed structure of Ag2Au (GGA-PBEsol, the Alexandria database).

* size of the total moment: 0.00 μB per formula unit
* V: 16.85 Å³/atom
* total energy: -31.84 eV/cell
* DOS at the Fermi energy: 0.287 states/eV per atom
* formation energy from the elements: -0.5 kcal/mol of atoms

```
data_Ag2Au
_space_group_name_H-M_alt 'P -6 2 m'
_space_group_IT_number 189
_space_group_name_Hall 'P -6 -2'
_cell_length_a 7.9020
_cell_length_b 7.9020
_cell_length_c 2.8046
_cell_angle_alpha 90.00
_cell_angle_beta 90.00
_cell_angle_gamma 120.00
loop_
_atom_site_label
_atom_site_type_symbol
_atom_site_fract_x
_atom_site_fract_y
_atom_site_fract_z
_atom_site_occupancy
Ag1 Ag 0.0000 0.3062 0.0000 1
Ag2 Ag 0.0000 0.6384 0.5000 1
Au1 Au 0.0000 0.0000 0.5000 1
Au2 Au 0.3333 0.6667 0.0000 1
```



(5)
# NiRhSCl2

A relaxed structure of NiRhSCl2 (GGA-PBEsol, the Alexandria database).

* size of the total moment: 1.25 μB per formula unit
* V: 19.85 Å³/atom
* total energy: -20.19 eV/cell
* DOS at the Fermi energy: 1.711 states/eV per atom

```
data_NiRhSCl2
_space_group_name_H-M_alt 'P 4/m m m'
_space_group_IT_number 123
_space_group_name_Hall '-P 4 2'
_cell_length_a 4.7138
_cell_length_b 4.7138
_cell_length_c 4.4675
_cell_angle_alpha 90.00
_cell_angle_beta 90.00
_cell_angle_gamma 90.00
loop_
_atom_site_label
_atom_site_type_symbol
_atom_site_fract_x
_atom_site_fract_y
_atom_site_fract_z
_atom_site_occupancy
Ni1 Ni 0.0000 0.0000 0.0000 1
Rh1 Rh 0.5000 0.5000 0.5000 1
S1 S 0.5000 0.5000 0.0000 1
Cl1 Cl 0.0000 0.5000 0.5000 1
```



(6)
# BaMnSb3

A relaxed structure of BaMnSb3 (GGA-PBEsol, the Alexandria database).

* size of the total moment: 5.15 μB per formula unit
* V: 43.66 Å³/atom
* total energy: -18.36 eV/cell
* DOS at the Fermi energy: 0.744 states/eV per atom

```
data_BaMnSb3
_space_group_name_H-M_alt 'P m -3 m'
_space_group_IT_number 221
_space_group_name_Hall '-P 4 2 3'
_cell_length_a 6.0213
_cell_length_b 6.0213
_cell_length_c 6.0213
_cell_angle_alpha 90.00
_cell_angle_beta 90.00
_cell_angle_gamma 90.00
loop_
_atom_site_label
_atom_site_type_symbol
_atom_site_fract_x
_atom_site_fract_y
_atom_site_fract_z
_atom_site_occupancy
Ba1 Ba 0.0000 0.0000 0.0000 1
Mn1 Mn 0.5000 0.5000 0.5000 1
Sb1 Sb 0.0000 0.0000 0.5000 1
```



Question: Look up the total energy of the fourth one.
Answer: -31.84 eV/cell